[1]
{
  "formula": "Tm2Hg2Pb",
  "functional": "PBE",
  "state": "relaxed",
  "cell": [[2.364, -7.819, 0.000], [2.364, 7.819, 0.000], [0.000, 0.000, 3.434]],
  "species": ["Tm", "Tm", "Hg", "Hg", "Pb"],
  "frac_coords": [[0.119, 0.881, 0.000], [0.881, 0.119, 0.000], [0.301, 0.699, 0.500], [0.699, 0.301, 0.500], [0.500, 0.500, 0.500]],
  "relative_energy_kcal_per_mol_atoms": 0.58,
  "formation_enthalpy_0k_ev_per_atom": -0.344,
  "space_group": "Cmmm (65)"
}

***

[2]
{
  "formula": "KSc2Tl",
  "functional": "PBE",
  "state": "relaxed",
  "cell": [[3.354, -5.195, 0.000], [3.354, 5.195, 0.000], [0.000, 0.000, 3.293]],
  "species": ["K", "Sc", "Sc", "Tl"],
  "frac_coords": [[0.000, 0.000, 0.000], [0.000, 0.500, 0.500], [0.500, 0.000, 0.500], [0.500, 0.500, 0.000]],
  "relative_energy_kcal_per_mol_atoms": 8.15,
  "formation_enthalpy_0k_ev_per_atom": 0.456,
  "space_group": "Cmmm (65)"
}

***

[3]
{
  "formula": "Nd2Ge6Pd21",
  "functional": "PBE",
  "state": "relaxed",
  "cell": [[0.000, 6.248, 6.248], [6.248, 0.000, 6.248], [6.248, 6.248, 0.000]],
  "species": ["Nd", "Nd", "Ge", "Ge", "Ge", "Ge", "Ge", "Ge", "Pd", "Pd", "Pd", "Pd", "Pd", "Pd", "Pd", "Pd", "Pd", "Pd", "Pd", "Pd", "Pd", "Pd", "Pd", "Pd", "Pd", "Pd", "Pd", "Pd", "Pd"],
  "frac_coords": [[0.250, 0.250, 0.250], [0.750, 0.750, 0.750], [0.235, 0.235, 0.765], [0.235, 0.765, 0.235], [0.235, 0.765, 0.765], [0.765, 0.235, 0.235], [0.765, 0.235, 0.765], [0.765, 0.765, 0.235], [0.117, 0.117, 0.117], [0.117, 0.117, 0.650], [0.117, 0.650, 0.117], [0.153, 0.500, 0.500], [0.153, 0.500, 0.847], [0.153, 0.847, 0.500], [0.350, 0.883, 0.883], [0.500, 0.153, 0.500], [0.500, 0.153, 0.847], [0.500, 0.500, 0.153], [0.500, 0.500, 0.500], [0.500, 0.500, 0.847], [0.500, 0.847, 0.153], [0.500, 0.847, 0.500], [0.650, 0.117, 0.117], [0.847, 0.153, 0.500], [0.847, 0.500, 0.153], [0.847, 0.500, 0.500], [0.883, 0.350, 0.883], [0.883, 0.883, 0.350], [0.883, 0.883, 0.883]],
  "formation_enthalpy_0k_ev_per_atom": -0.556,
  "space_group": "Fm-3m (225)"
}

***

[4]
{
  "formula": "CaH3Ir",
  "functional": "PBE",
  "state": "relaxed",
  "cell": [[3.782, 0.000, 0.000], [-1.891, 3.276, 0.000], [0.000, 0.000, 7.925]],
  "species": ["Ca", "Ca", "H", "H", "H", "H", "H", "H", "Ir", "Ir"],
  "frac_coords": [[0.333, 0.667, 0.250], [0.667, 0.333, 0.750], [0.000, 0.000, 0.250], [0.000, 0.000, 0.750], [0.333, 0.667, 0.545], [0.333, 0.667, 0.955], [0.667, 0.333, 0.045], [0.667, 0.333, 0.455], [0.000, 0.000, 0.000], [0.000, 0.000, 0.500]],
  "space_group": "P6_3/mmc (194)"
}

***

[5]
{
  "formula": "ZnHg2BiMo",
  "functional": "PBE",
  "state": "relaxed",
  "cell": [[4.984, 0.000, 0.000], [0.000, 4.984, 0.000], [0.000, 0.000, 5.106]],
  "species": ["Zn", "Hg", "Hg", "Bi", "Mo"],
  "frac_coords": [[0.000, 0.000, 0.000], [0.000, 0.500, 0.000], [0.500, 0.000, 0.000], [0.500, 0.500, 0.500], [0.000, 0.000, 0.500]],
  "formation_enthalpy_0k_ev_per_atom": 0.859,
  "space_group": "P4/mmm (123)"
}

***

[6]
{
  "formula": "CuTc2Ru2",
  "functional": "PBE",
  "state": "relaxed",
  "cell": [[7.431, 0.000, 0.000], [0.000, 7.431, 0.000], [0.000, 0.000, 2.733]],
  "species": ["Cu", "Cu", "Tc", "Tc", "Tc", "Tc", "Ru", "Ru", "Ru", "Ru"],
  "frac_coords": [[0.000, 0.000, 0.000], [0.500, 0.500, 0.000], [0.167, 0.333, 0.500], [0.333, 0.833, 0.500], [0.667, 0.167, 0.500], [0.833, 0.667, 0.500], [0.126, 0.626, 0.000], [0.374, 0.126, 0.000], [0.626, 0.874, 0.000], [0.874, 0.374, 0.000]],
  "relative_energy_kcal_per_mol_atoms": 0.00,
  "formation_enthalpy_0k_ev_per_atom": 0.297,
  "space_group": "P4/mbm (127)"
}

***

[7]
{
  "formula": "MgNbSi3",
  "functional": "PBE",
  "state": "relaxed",
  "cell": [[4.680, 0.000, 0.000], [0.000, 4.680, 0.000], [0.000, 0.000, 4.680]],
  "species": ["Mg", "Nb", "Si", "Si", "Si"],
  "frac_coords": [[0.000, 0.000, 0.000], [0.500, 0.500, 0.500], [0.000, 0.000, 0.500], [0.000, 0.500, 0.000], [0.500, 0.000, 0.000]],
  "relative_energy_kcal_per_mol_atoms": 21.35,
  "e_form_raw_mev_per_atom": 1477,
  "space_group": "Pm-3m (221)"
}

***

[8]
{
  "formula": "HoEr4In2",
  "functional": "PBE",
  "state": "relaxed",
  "cell": [[6.705, 0.000, 0.000], [0.000, 10.584, 0.000], [-3.267, 0.000, 5.922]],
  "species": ["Ho", "Ho", "Er", "Er", "Er", "Er", "Er", "Er", "Er", "Er", "In", "In", "In", "In"],
  "frac_coords": [[0.000, 0.000, 0.000], [0.000, 0.500, 0.500], [0.077, 0.169, 0.534], [0.077, 0.331, 0.034], [0.402, 0.741, 0.454], [0.402, 0.759, 0.954], [0.598, 0.241, 0.046], [0.598, 0.259, 0.546], [0.923, 0.669, 0.966], [0.923, 0.831, 0.466], [0.473, 0.513, 0.221], [0.473, 0.987, 0.721], [0.527, 0.013, 0.279], [0.527, 0.487, 0.779]],
  "relative_energy_kcal_per_mol_atoms": 0.53,
  "formation_enthalpy_0k_ev_per_atom": -0.111,
  "space_group": "P2_1/c (14)"
}

***

[9]
{
  "formula": "Dy5Er2Sc5",
  "functional": "PBE",
  "state": "relaxed",
  "cell": [[7.241, -2.414, 0.000], [7.241, 2.414, 0.000], [-4.840, 0.000, 9.697]],
  "species": ["Dy", "Dy", "Dy", "Dy", "Dy", "Er", "Er", "Sc", "Sc", "Sc", "Sc", "Sc"],
  "frac_coords": [[0.000, 0.000, 0.000], [0.088, 0.088, 0.752], [0.165, 0.165, 0.499], [0.835, 0.835, 0.501], [0.912, 0.912, 0.248], [0.417, 0.417, 0.754], [0.583, 0.583, 0.246], [0.250, 0.250, 0.246], [0.329, 0.329, 0.998], [0.500, 0.500, 0.500], [0.671, 0.671, 0.002], [0.750, 0.750, 0.754]],
  "relative_energy_kcal_per_mol_atoms": 0.00,
  "formation_enthalpy_0k_ev_per_atom": 0.050,
  "space_group": "C2/m (12)"
}

***

[10]
{
  "formula": "Er5In2Au",
  "functional": "PBE",
  "state": "relaxed",
  "cell": [[-3.433, 3.433, 4.450], [3.433, -3.433, 4.450], [3.433, 3.433, -4.450]],
  "species": ["Er", "Er", "Er", "Er", "Er", "In", "In", "Au"],
  "frac_coords": [[0.000, 0.000, 0.000], [0.496, 0.496, 0.507], [0.496, 0.989, 0.000], [0.989, 0.496, 0.000], [0.989, 0.989, 0.493], [0.494, 0.994, 0.500], [0.994, 0.494, 0.500], [0.441, 0.441, 0.000]],
  "formation_enthalpy_0k_ev_per_atom": -0.355,
  "space_group": "I4mm (107)"
}

***

[11]
{
  "formula": "CuGeSN2",
  "functional": "PBE",
  "state": "relaxed",
  "cell": [[3.788, 0.000, 0.000], [0.000, 3.788, 0.000], [0.000, 0.000, 5.082]],
  "species": ["Cu", "Ge", "S", "N", "N"],
  "frac_coords": [[0.000, 0.000, 0.000], [0.500, 0.500, 0.500], [0.000, 0.000, 0.500], [0.000, 0.500, 0.000], [0.500, 0.000, 0.000]],
  "relative_energy_kcal_per_mol_atoms": 4.35,
  "e_form_raw_mev_per_atom": 1388,
  "space_group": "P4/mmm (123)"
}

***

[12]
{
  "formula": "ZrFe2Ni",
  "functional": "PBE",
  "state": "relaxed",
  "cell": [[1.375, 0.794, 8.823], [-1.375, 0.794, 8.823], [0.000, -1.588, 8.823]],
  "species": ["Zr", "Fe", "Fe", "Ni"],
  "frac_coords": [[0.000, 0.000, 0.000], [0.240, 0.240, 0.240], [0.760, 0.760, 0.760], [0.500, 0.500, 0.500]],
  "formation_enthalpy_0k_ev_per_atom": 0.314,
  "space_group": "R-3m (166)"
}

***

no.,uncorrected energy (eV/atom)
1,-3.00
2,-3.58
3,-5.60
4,-4.18
5,-2.46
6,-8.38
7,-4.11
8,-4.15
9,-5.27
10,-4.30
11,-4.51
12,-7.50